Here is a geometry-optimized DyZr2NpAs4 structure from the Alexandria database. Energies are from PBE-GGA.

The calculated density is 8.2 Mg/m³. The value obtained for the formation energy is -1.133 eV/atom. The value obtained for the spin magnetization is 4.0 μB per cell. The calculation puts the density of states at the Fermi level at 12.40 states/eV/f.u.

The space group is P2/m (No. 10) and the conventional cell measures 6.8823, 3.9703 and 6.9259 Å, with angles of 90.00, 109.24 and 90.00 degrees. The inequivalent atoms are Dy at (0.0000, 0.0000, 0.0000), Zr at (0.0000, 0.5000, 0.5000), Zr at (0.5000, 0.0000, 0.5000), Np at (0.5000, 0.5000, 0.0000), As at (0.2462, 0.0000, 0.7374) and As at (0.2550, 0.5000, 0.2625).

Here is a geometry-optimized LaCe2InO structure from the Alexandria database. Energies are from PBE-GGA.

The calculated density is 7.4 Mg/m³. The value obtained for the spin magnetization is 2.1 μB per cell. Its uncorrected formation energy is -129.7 kJ per mole of atoms. The calculation puts the density of states at the Fermi level at 8.86 states/eV/f.u.

The space group is P4/mmm (No. 123) and the conventional cell measures 4.9153, 4.9153 and 5.0975 Å, with angles of 90.00, 90.00 and 90.00 degrees. The inequivalent atoms are La at (0.0000, 0.0000, 0.0000), Ce at (0.0000, 0.5000, 0.5000), In at (0.5000, 0.5000, 0.0000) and O at (0.0000, 0.0000, 0.5000).

Here is a geometry-optimized MnBeZn2 structure from the Alexandria database. Energies are from PBE-GGA.

The calculated density is 6.5 Mg/m³. The value obtained for the formation energy is 0.106 eV/atom. The value obtained for the spin magnetization is 2.7 μB per cell. The calculation puts the density of states at the Fermi level at 1.45 states/eV/f.u.

The space group is P4/mmm (No. 123) and the conventional cell measures 2.7112, 2.7112 and 6.7247 Å, with angles of 90.00, 90.00 and 90.00 degrees. The inequivalent atoms are Mn at (0.0000, 0.0000, 0.0000), Be at (0.0000, 0.0000, 0.5000) and Zn at (0.5000, 0.5000, 0.2708).

Here is a geometry-optimized Ti2CoPt2 structure from the Alexandria database. Energies are from PBE-GGA.

The calculated density is 11.5 Mg/m³. The value obtained for the formation energy is -0.489 eV/atom. The value obtained for the spin magnetization is 0.0 μB per cell. The calculation puts the density of states at the Fermi level at 3.60 states/eV/f.u.

The space group is P4/mbm (No. 127) and the conventional cell measures 7.1246, 7.1246 and 3.1059 Å, with angles of 90.00, 90.00 and 90.00 degrees. The inequivalent atoms are Ti at (0.1686, 0.3314, 0.0000), Co at (0.0000, 0.0000, 0.5000) and Pt at (0.1359, 0.6359, 0.5000).

Here is a geometry-optimized Nd2AgB3Pt12 structure from the Alexandria database. Energies are from PBE-GGA.

The calculated density is 14.3 Mg/m³. The value obtained for the formation energy is -0.302 eV/atom. The value obtained for the spin magnetization is 0.0 μB per cell. The calculation puts the density of states at the Fermi level at 7.31 states/eV/f.u.

The space group is R-3m (No. 166, hexagonal axes) and the conventional cell measures 8.0343, 8.0343 and 17.3071 Å, with angles of 90.00, 90.00 and 120.00 degrees. The inequivalent atoms are Nd at (0.0000, 0.0000, 0.1031), Ag at (0.0000, 0.0000, 0.5000), B at (0.0000, 0.5000, 0.0000), Pt at (0.0166, 0.5083, 0.8783) and Pt at (0.0588, 0.5294, 0.3520).

Here is a geometry-optimized CsCdH6Rh structure from the Alexandria database. Energies are from PBE-GGA.

For the total energy, the calculation gives -30.8 eV per cell. The calculated density is 4.4 Mg/m³. The value obtained for the spin magnetization is 0.0 μB per cell. The calculation puts the density of states at the Fermi level at 0.00 states/eV/f.u.

The space group is P312 (No. 149) and the conventional cell measures 4.9211, 4.9211 and 6.3913 Å, with angles of 90.00, 90.00 and 120.00 degrees. The inequivalent atoms are Cs at (0.0000, 0.0000, 0.0000), Cd at (0.3333, 0.6667, 0.5000), H at (0.3971, 0.0716, 0.6617) and Rh at (0.6667, 0.3333, 0.5000).

Here is a geometry-optimized ReSiN2O structure from the Alexandria database. Energies are from PBE-GGA.

The calculated density is 9.5 Mg/m³. The value obtained for the spin magnetization is 0.0 μB per cell. Its uncorrected formation energy is 32.2 kJ per mole of atoms. The calculation puts the density of states at the Fermi level at 3.34 states/eV/f.u.

The space group is P4/mmm (No. 123) and the conventional cell measures 3.6656, 3.6656 and 3.3586 Å, with angles of 90.00, 90.00 and 90.00 degrees. The inequivalent atoms are Re at (0.0000, 0.0000, 0.0000), Si at (0.5000, 0.5000, 0.5000), N at (0.0000, 0.5000, 0.5000) and O at (0.5000, 0.5000, 0.0000).

Here is a geometry-optimized Pr8Rh3SBr4 structure from the Alexandria database. Energies are from PBE-GGA.

The calculated density is 6.3 Mg/m³. The value obtained for the spin magnetization is 0.0 μB per cell. Its uncorrected formation energy is -112.1 kJ per mole of atoms. The calculation puts the density of states at the Fermi level at 10.13 states/eV/f.u.

The space group is R-3m (No. 166, hexagonal axes) and the conventional cell measures 8.3921, 8.3921 and 23.1973 Å, with angles of 90.00, 90.00 and 120.00 degrees. The inequivalent atoms are Pr at (0.0000, 0.0000, 0.2321), Pr at (0.0098, 0.5049, 0.7670), Rh at (0.0000, 0.5000, 0.5000), S at (0.0000, 0.0000, 0.5000), Br at (0.0000, 0.0000, 0.0000) and Br at (0.0000, 0.5000, 0.0000).